Be3TlCr | the Alexandria database | PBE | relaxed; energy of formation = 1.847 eV per atom; M_tot = 0.01 μB per cell; space-group type = No. 221; offset from the most stable computed form = 3.20 eV per formula unit; N(E_F) = 1.389 states/eV per atom; uncorrected energy = -2.786 eV per atom
1.0
4.418 0.000 0.000
0.000 4.418 0.000
0.000 0.000 4.418
Be Tl Cr
3 1 1
Cartesian
0.000 0.000 2.209
0.000 2.209 0.000
2.209 0.000 0.000
0.000 0.000 0.000
2.209 2.209 2.209